No. 1
# Sr3Zn2Pd6 | Alexandria | PBE-GGA | optimized geometry
# N(E_F)   0.48 states/eV/atom
# Total magnetization   0.1 μB/f.u.
# DFT total energy   -4.125 eV/atom
data_Sr3Zn2Pd6
_space_group_name_H-M_alt 'I m -3 m'
_space_group_IT_number 229
_space_group_name_Hall '-I 4 2 3'
_cell_length_a 9.7898
_cell_length_b 9.7898
_cell_length_c 9.7898
_cell_angle_alpha 90.00
_cell_angle_beta 90.00
_cell_angle_gamma 90.00
loop_
_atom_site_label
_atom_site_fract_x
_atom_site_fract_y
_atom_site_fract_z
_atom_site_occupancy
Sr1 0.0000 0.0000 0.2994 1
Zn1 0.2500 0.2500 0.2500 1
Pd1 0.0000 0.3245 0.3245 1

No. 2
# Sr2ZnPd2 | Alexandria | PBE-GGA | optimized geometry
# N(E_F)   0.52 states/eV/atom
# Total magnetization   0.0 μB/f.u.
# DFT total energy   -3.481 eV/atom
data_Sr2ZnPd2
_space_group_name_H-M_alt 'P 4/m b m'
_space_group_IT_number 127
_space_group_name_Hall '-P 4 2ab'
_cell_length_a 7.5701
_cell_length_b 7.5701
_cell_length_c 4.3649
_cell_angle_alpha 90.00
_cell_angle_beta 90.00
_cell_angle_gamma 90.00
loop_
_atom_site_label
_atom_site_fract_x
_atom_site_fract_y
_atom_site_fract_z
_atom_site_occupancy
Sr1 0.1729 0.3271 0.0000 1
Zn1 0.0000 0.0000 0.5000 1
Pd1 0.1320 0.6320 0.5000 1

No. 3
# Sr8ZnPd2 | Alexandria | PBE-GGA | optimized geometry
# N(E_F)   0.77 states/eV/atom
# Total magnetization   0.0 μB/f.u.
# DFT total energy   -2.390 eV/atom
data_Sr8ZnPd2
_space_group_name_H-M_alt 'P -3'
_space_group_IT_number 147
_cell_length_a 9.6702
_cell_length_b 9.6702
_cell_length_c 6.4400
_cell_angle_alpha 90.00
_cell_angle_beta 90.00
_cell_angle_gamma 120.00
loop_
_space_group_symop_operation_xyz
'x,y,z'
'-x,-y,-z'
'-y,x-y,z'
'y,-x+y,-z'
'-x+y,-x,z'
'x-y,x,-z'
loop_
_atom_site_label
_atom_site_fract_x
_atom_site_fract_y
_atom_site_fract_z
_atom_site_occupancy
Sr1 0.1601 0.3220 0.2469 1
Sr2 0.3333 0.6667 0.7481 1
Zn1 0.0000 0.0000 0.5000 1
Pd1 0.3333 0.6667 0.2499 1

No. 4
# SrZnPd4 | Alexandria | PBE-GGA | optimized geometry
# N(E_F)   0.36 states/eV/atom
# Total magnetization   0.0 μB/f.u.
# DFT total energy   -4.372 eV/atom
data_SrZnPd4
_space_group_name_H-M_alt 'P m m a'
_space_group_IT_number 51
_cell_length_a 7.7179
_cell_length_b 4.0808
_cell_length_c 7.1050
_cell_angle_alpha 90.00
_cell_angle_beta 90.00
_cell_angle_gamma 90.00
loop_
_space_group_symop_operation_xyz
'x,y,z'
'-x,-y,-z'
'-x+1/2,-y,z'
'x+1/2,y,-z'
'x+1/2,-y,-z'
'-x+1/2,y,z'
'-x,y,-z'
'x,-y,z'
loop_
_atom_site_label
_atom_site_fract_x
_atom_site_fract_y
_atom_site_fract_z
_atom_site_occupancy
Sr1 0.2500 0.0000 0.1440 1
Zn1 0.2500 0.0000 0.7183 1
Pd1 0.0000 0.0000 0.5000 1
Pd2 0.0589 0.5000 0.8058 1
Pd3 0.2500 0.5000 0.4656 1

No. 5
# Sr4ZnPd4 | Alexandria | PBE-GGA | optimized geometry
# N(E_F)   0.47 states/eV/atom
# Total magnetization   0.0 μB/f.u.
# DFT total energy   -3.712 eV/atom
data_Sr4ZnPd4
_space_group_name_H-M_alt 'P 42/n'
_space_group_IT_number 86
_cell_length_a 8.9802
_cell_length_b 8.9802
_cell_length_c 6.1320
_cell_angle_alpha 90.00
_cell_angle_beta 90.00
_cell_angle_gamma 90.00
loop_
_space_group_symop_operation_xyz
'x,y,z'
'-x,-y,-z'
'-y,x+1/2,z+1/2'
'y,-x+1/2,-z+1/2'
'-x+1/2,-y+1/2,z'
'x+1/2,y+1/2,-z'
'y+1/2,-x,z+1/2'
'-y+1/2,x,-z+1/2'
loop_
_atom_site_label
_atom_site_fract_x
_atom_site_fract_y
_atom_site_fract_z
_atom_site_occupancy
Sr1 0.0349 0.6867 0.1056 1
Zn1 0.2500 0.2500 0.2500 1
Pd1 0.0182 0.3658 0.3997 1

No. 6
# Sr2ZnPd2 | Alexandria | PBE-GGA | optimized geometry
# N(E_F)   0.14 states/eV/atom
# Total magnetization   0.0 μB/f.u.
# DFT total energy   -3.208 eV/atom
data_Sr2ZnPd2
_space_group_name_H-M_alt 'P 4/m b m'
_space_group_IT_number 127
_space_group_name_Hall '-P 4 2ab'
_cell_length_a 8.5693
_cell_length_b 8.5693
_cell_length_c 3.7604
_cell_angle_alpha 90.00
_cell_angle_beta 90.00
_cell_angle_gamma 90.00
loop_
_atom_site_label
_atom_site_fract_x
_atom_site_fract_y
_atom_site_fract_z
_atom_site_occupancy
Sr1 0.1658 0.3342 0.0000 1
Zn1 0.0000 0.0000 0.0000 1
Pd1 0.1230 0.6230 0.5000 1

No. 7
# SrZn11Pd | Alexandria | PBE-GGA | optimized geometry
# N(E_F)   0.42 states/eV/atom
# Total magnetization   0.0 μB/f.u.
# DFT total energy   -1.806 eV/atom
data_SrZn11Pd
_space_group_name_H-M_alt 'C 1 2/m 1'
_space_group_IT_number 12
_cell_length_a 5.2345
_cell_length_b 13.0045
_cell_length_c 6.8342
_cell_angle_alpha 90.00
_cell_angle_beta 111.05
_cell_angle_gamma 90.00
loop_
_space_group_symop_operation_xyz
'x,y,z'
'-x,-y,-z'
'-x,y,-z'
'x,-y,z'
'x+1/2,y+1/2,z'
'-x+1/2,-y+1/2,-z'
'-x+1/2,y+1/2,-z'
'x+1/2,-y+1/2,z'
loop_
_atom_site_label
_atom_site_fract_x
_atom_site_fract_y
_atom_site_fract_z
_atom_site_occupancy
Sr1 0.0000 0.0000 0.0000 1
Zn1 0.0000 0.5000 0.5000 1
Zn2 0.1111 0.3858 0.2257 1
Zn3 0.1637 0.1764 0.3587 1
Zn4 0.2500 0.2500 0.0000 1
Pd1 0.0000 0.0000 0.5000 1

No. 8
# SrZnPd3 | Alexandria | PBE-GGA | optimized geometry
# N(E_F)   0.40 states/eV/atom
# Polymorph energy (0 for the lowest one)   117.8 kJ per mole of atoms
# Total magnetization   0.0 μB/f.u.
# DFT total energy   -2.774 eV/atom
data_SrZnPd3
_space_group_name_H-M_alt 'P m -3 m'
_space_group_IT_number 221
_space_group_name_Hall '-P 4 2 3'
_cell_length_a 5.1848
_cell_length_b 5.1848
_cell_length_c 5.1848
_cell_angle_alpha 90.00
_cell_angle_beta 90.00
_cell_angle_gamma 90.00
loop_
_atom_site_label
_atom_site_fract_x
_atom_site_fract_y
_atom_site_fract_z
_atom_site_occupancy
Sr1 0.0000 0.0000 0.0000 1
Zn1 0.5000 0.5000 0.5000 1
Pd1 0.0000 0.0000 0.5000 1

No. 9
# Sr3ZnPd | Alexandria | PBE-GGA | optimized geometry
# N(E_F)   0.57 states/eV/atom
# Polymorph energy (0 for the lowest one)   16.5 kJ per mole of atoms
# Total magnetization   0.0 μB/f.u.
# DFT total energy   -2.477 eV/atom
data_Sr3ZnPd
_space_group_name_H-M_alt 'P m -3 m'
_space_group_IT_number 221
_space_group_name_Hall '-P 4 2 3'
_cell_length_a 5.8955
_cell_length_b 5.8955
_cell_length_c 5.8955
_cell_angle_alpha 90.00
_cell_angle_beta 90.00
_cell_angle_gamma 90.00
loop_
_atom_site_label
_atom_site_fract_x
_atom_site_fract_y
_atom_site_fract_z
_atom_site_occupancy
Sr1 0.0000 0.0000 0.5000 1
Zn1 0.5000 0.5000 0.5000 1
Pd1 0.0000 0.0000 0.0000 1

No. 10
# SrZn12Pd4 | Alexandria | PBE-GGA | optimized geometry
# N(E_F)   0.55 states/eV/atom
# Total magnetization   0.0 μB/f.u.
# DFT total energy   -2.269 eV/atom
data_SrZn12Pd4
_space_group_name_H-M_alt 'I m -3'
_space_group_IT_number 204
_space_group_name_Hall '-I 2 2 3'
_cell_length_a 8.7981
_cell_length_b 8.7981
_cell_length_c 8.7981
_cell_angle_alpha 90.00
_cell_angle_beta 90.00
_cell_angle_gamma 90.00
loop_
_atom_site_label
_atom_site_fract_x
_atom_site_fract_y
_atom_site_fract_z
_atom_site_occupancy
Sr1 0.0000 0.0000 0.0000 1
Zn1 0.0000 0.3543 0.1579 1
Pd1 0.2500 0.2500 0.2500 1

No. 11
# SrZnPd2 | Alexandria | PBE-GGA | optimized geometry
# N(E_F)   0.22 states/eV/atom
# Total magnetization   0.0 μB/f.u.
# DFT total energy   -3.793 eV/atom
data_SrZnPd2
_space_group_name_H-M_alt 'P 4/n m m'
_space_group_IT_number 129
_cell_length_a 4.2206
_cell_length_b 4.2206
_cell_length_c 9.7423
_cell_angle_alpha 90.00
_cell_angle_beta 90.00
_cell_angle_gamma 90.00
loop_
_space_group_symop_operation_xyz
'x,y,z'
'-x,-y,-z'
'-y+1/2,x,z'
'y+1/2,-x,-z'
'-x+1/2,-y+1/2,z'
'x+1/2,y+1/2,-z'
'y,-x+1/2,z'
'-y,x+1/2,-z'
'x+1/2,-y,-z'
'-x+1/2,y,z'
'-y,-x,-z'
'y,x,z'
'-x,y+1/2,-z'
'x,-y+1/2,z'
'y+1/2,x+1/2,-z'
'-y+1/2,-x+1/2,z'
loop_
_atom_site_label
_atom_site_fract_x
_atom_site_fract_y
_atom_site_fract_z
_atom_site_occupancy
Sr1 0.2500 0.2500 0.2154 1
Zn1 0.2500 0.2500 0.6473 1
Pd1 0.2500 0.2500 0.9055 1
Pd2 0.2500 0.7500 0.5000 1

No. 12
# Sr3Zn9Pd2 | Alexandria | PBE-GGA | optimized geometry
# N(E_F)   0.53 states/eV/atom
# Total magnetization   0.0 μB/f.u.
# DFT total energy   -2.253 eV/atom
data_Sr3Zn9Pd2
_space_group_name_H-M_alt 'I m m m'
_space_group_IT_number 71
_space_group_name_Hall '-I 2 2'
_cell_length_a 4.4076
_cell_length_b 9.6809
_cell_length_c 13.3990
_cell_angle_alpha 90.00
_cell_angle_beta 90.00
_cell_angle_gamma 90.00
loop_
_atom_site_label
_atom_site_fract_x
_atom_site_fract_y
_atom_site_fract_z
_atom_site_occupancy
Sr1 0.0000 0.0000 0.0000 1
Sr2 0.0000 0.0000 0.3056 1
Zn1 0.0000 0.2836 0.1202 1
Zn2 0.0000 0.3532 0.3345 1
Zn3 0.0000 0.5000 0.0000 1
Pd1 0.0000 0.2019 0.5000 1